Entry 1:
DFT (PBE) results for a geometry-optimized LaSm2Au structure.

Cell and atoms, written as POSCAR:
```
LaSm2Au
1.0
-3.200 -1.592 1.197
-0.159 -1.570 3.423
-4.120 7.997 5.553
Au Sm La
1 2 1
Direct
0.000 0.000 0.000
0.265 0.265 0.206
0.735 0.735 0.794
0.500 0.500 0.500
```

Properties
- V: 127 Å³ per cell
- E above lowest polymorph: 150 meV per atom

Entry 2:
DFT (PBE) results for a geometry-optimized La3SmAu2 structure.

Cell and atoms, written as POSCAR:
```
La3SmAu2
1.0
5.182 0.000 0.000
0.000 7.322 0.000
0.000 0.000 9.489
La Sm Au
6 2 4
Direct
0.000 0.496 0.924
0.000 0.996 0.076
0.500 0.654 0.164
0.500 0.154 0.836
0.000 0.345 0.338
0.000 0.845 0.662
0.500 0.504 0.572
0.500 0.004 0.428
0.500 0.733 0.841
0.500 0.233 0.159
0.000 0.267 0.651
0.000 0.767 0.349
```

Properties
- V: 360 Å³ per cell

Entry 3:
DFT (PBE) results for a geometry-optimized La2SmAu structure.

Cell and atoms, written as POSCAR:
```
La2SmAu
1.0
3.811 0.000 0.000
0.000 3.811 0.000
0.000 0.000 8.629
Au Sm La
1 1 2
Direct
0.500 0.500 0.000
0.500 0.500 0.500
0.000 0.000 0.788
0.000 0.000 0.212
```

Properties
- V: 125 Å³ per cell
- E above lowest polymorph: 36 meV per atom

Entry 4:
DFT (PBE) results for a geometry-optimized LaSmSnAu structure.

Cell and atoms, written as POSCAR:
```
LaSmSnAu
1.0
-1.540 -4.645 2.311
3.025 -4.449 -0.589
2.763 -1.972 4.215
Au Sn Sm La
1 1 1 1
Direct
0.750 0.750 0.750
0.250 0.250 0.250
0.000 0.000 0.000
0.500 0.500 0.500
```

Properties
- V: 112 Å³ per cell

Entry 5:
DFT (PBE) results for a geometry-optimized LaSmTm2Au4 structure.

Cell and atoms, written as POSCAR:
```
LaSmTm2Au4
1.0
-4.623 1.628 -1.499
-4.224 -1.931 2.167
-2.711 6.047 6.165
La Sm Tm Au
1 1 2 4
Direct
0.000 0.000 0.000
0.500 0.500 0.500
0.751 0.751 0.746
0.249 0.249 0.254
0.381 0.381 0.858
0.873 0.873 0.380
0.127 0.127 0.620
0.619 0.619 0.142
```

Properties
- V: 195 Å³ per cell

Entry 6:
DFT (PBE) results for a geometry-optimized LaSmZnAu structure.

Cell and atoms, written as POSCAR:
```
LaSmZnAu
1.0
5.267 0.000 0.000
2.634 4.562 0.000
2.634 1.521 4.301
Zn Au Sm La
1 1 1 1
Direct
0.000 0.000 0.000
0.500 0.500 0.500
0.750 0.750 0.750
0.250 0.250 0.250
```

Properties
- V: 103 Å³ per cell

In order of appearance, formation enthalpy at 0 K = -0.2558, -0.5606, -0.3618, -0.7282, -0.8170, -0.5288 eV/atom.
In order of appearance, raw total energy = -18.7, -29.4, -19.3, -19.8, -38.2, -16.3 eV/f.u..